<a>
VASP calculation (PBE) on a geometry-optimized TlSn2Sb2 structure.

a b c (Å): 7.6268 7.6268 7.2027
angles (deg): 113.07 113.07 94.22
Atoms (fractional coordinates):
Tl (0.1342, 0.8658, 0.7500)
Tl (0.8658, 0.1342, 0.2500)
Sn (0.1810, 0.4514, 0.2479)
Sn (0.4514, 0.1810, 0.7479)
Sn (0.5486, 0.8190, 0.2521)
Sn (0.8190, 0.5486, 0.7521)
Sb (0.1592, 0.8408, 0.2500)
Sb (0.4313, 0.5687, 0.7500)
Sb (0.5687, 0.4313, 0.2500)
Sb (0.8408, 0.1592, 0.7500)

Total magnetization, μB/atom: 0.0000
DOS at the Fermi energy, states/eV/cell: 3.56

<b>
VASP calculation (PBE) on a geometry-optimized TlSn2Sb2 structure.

a b c (Å): 7.9626 7.9626 7.9626
angles (deg): 144.99 144.99 50.35
Atoms (fractional coordinates):
Tl (0.0000, 0.0000, 0.0000)
Sn (0.2500, 0.7500, 0.5000)
Sn (0.7500, 0.2500, 0.5000)
Sb (0.3919, 0.3919, 0.0000)
Sb (0.6081, 0.6081, 0.0000)

Total magnetization, μB/atom: 0.0000
DOS at the Fermi energy, states/eV/cell: 3.55

The calculated energies rank the structures as follows, beginning with the most stable: <a>, <b>.

<a>
VASP calculation (PBE) on a geometry-optimized TlSn3Sb structure.

a b c (Å): 5.7990 5.7990 5.7990
angles (deg): 90.00 90.00 90.00
Atoms (fractional coordinates):
Tl (0.0000, 0.0000, 0.0000)
Sn (0.0000, 0.5000, 0.5000)
Sn (0.5000, 0.0000, 0.5000)
Sn (0.5000, 0.5000, 0.0000)
Sb (0.5000, 0.5000, 0.5000)

Total magnetization, μB/atom: 0.0000
DOS at the Fermi energy, states/eV/cell: 4.39

<b>
VASP calculation (PBE) on a geometry-optimized TlSn3Sb structure.

a b c (Å): 7.0919 9.5363 8.9813
angles (deg): 90.00 90.00 90.00
Atoms (fractional coordinates):
Tl (0.2021, 0.2500, 0.1735)
Tl (0.2979, 0.7500, 0.6735)
Tl (0.7021, 0.2500, 0.3265)
Tl (0.7979, 0.7500, 0.8265)
Sn (0.1277, 0.0774, 0.8311)
Sn (0.1277, 0.4226, 0.8311)
Sn (0.2234, 0.7500, 0.0478)
Sn (0.2766, 0.2500, 0.5478)
Sn (0.3723, 0.5774, 0.3311)
Sn (0.3723, 0.9226, 0.3311)
Sn (0.6277, 0.0774, 0.6689)
Sn (0.6277, 0.4226, 0.6689)
Sn (0.7234, 0.7500, 0.4522)
Sn (0.7766, 0.2500, 0.9522)
Sn (0.8723, 0.5774, 0.1689)
Sn (0.8723, 0.9226, 0.1689)
Sb (0.0000, 0.0000, 0.5000)
Sb (0.0000, 0.5000, 0.5000)
Sb (0.5000, 0.0000, 0.0000)
Sb (0.5000, 0.5000, 0.0000)

Total magnetization, μB/atom: 0.0000
DOS at the Fermi energy, states/eV/cell: 9.27

The calculated energies rank the structures as follows, beginning with the most stable: <b>, <a>.

<a>
VASP calculation (PBE) on a geometry-optimized TlSnSb structure.

a b c (Å): 6.9224 5.6367 9.2384
angles (deg): 90.00 90.00 90.00
Atoms (fractional coordinates):
Tl (0.0055, 0.2500, 0.2261)
Tl (0.4945, 0.7500, 0.7261)
Tl (0.5055, 0.2500, 0.2739)
Tl (0.9945, 0.7500, 0.7739)
Sn (0.2016, 0.2500, 0.5815)
Sn (0.2984, 0.7500, 0.0815)
Sn (0.7016, 0.2500, 0.9185)
Sn (0.7984, 0.7500, 0.4185)
Sb (0.2424, 0.7500, 0.4171)
Sb (0.2576, 0.2500, 0.9171)
Sb (0.7424, 0.7500, 0.0829)
Sb (0.7576, 0.2500, 0.5829)

Total magnetization, μB/atom: 0.0000
DOS at the Fermi energy, states/eV/cell: 5.51

<b>
VASP calculation (PBE) on a geometry-optimized TlSnSb structure.

a b c (Å): 5.2965 5.2965 5.2965
angles (deg): 60.00 60.00 60.00
Atoms (fractional coordinates):
Tl (0.0000, 0.0000, 0.0000)
Sn (0.5000, 0.5000, 0.5000)
Sb (0.7500, 0.7500, 0.7500)

Total magnetization, μB/atom: 0.0000
DOS at the Fermi energy, states/eV/cell: 0.91

<c>
VASP calculation (PBE) on a geometry-optimized TlSnSb structure.

a b c (Å): 5.5079 5.5079 3.3408
angles (deg): 90.00 90.00 120.00
Atoms (fractional coordinates):
Tl (0.0000, 0.0000, 0.0000)
Sn (0.3333, 0.6667, 0.4978)
Sb (0.6667, 0.3333, 0.5019)

Total magnetization, μB/atom: 0.0000
DOS at the Fermi energy, states/eV/cell: 2.39

<d>
VASP calculation (PBE) on a geometry-optimized TlSnSb structure.

a b c (Å): 6.5680 6.5680 6.5680
angles (deg): 145.14 145.14 50.13
Atoms (fractional coordinates):
Tl (0.0000, 0.0000, 0.0000)
Sn (0.3021, 0.3021, 0.0000)
Sb (0.6885, 0.6885, 0.0000)

Total magnetization, μB/atom: 0.0000
DOS at the Fermi energy, states/eV/cell: 1.26

The calculated energies rank the structures as follows, beginning with the most stable: <a>, <c>, <d>, <b>.